Entry 1:
## Li4Ni3TeO8 (meta-GGA SCAN)

Data for a crystal of Li4Ni3TeO8 relaxed with PBEsol.

Output
raw total energy: -171.70 eV for the cell shown
energy relative to the elements, uncorrected: -1.658 eV/atom
volume: 9.1 A^3/atom

Geometry as extended XYZ:
```
16
Lattice="5.8691 -0.0182 -0.0130 2.8662 5.1217 -0.0130 2.8662 1.6745 4.8402" Properties=species:S:1:pos:R:3 pbc="T T T"
Te 0.0000 0.0000 0.0000
O 2.9989 1.7520 1.2445
O 5.7779 5.1969 3.6913
O 8.6027 5.0260 3.5699
O 4.2372 4.2968 1.1231
O 7.3644 4.3025 1.1271
O 4.2372 2.4755 3.6872
O 7.3644 2.4812 3.6913
O 5.8237 1.5811 1.1231
Ni 4.3677 2.5517 -0.0130
Ni 2.8662 3.3981 2.4136
Ni 4.3677 0.8282 2.4136
Li 1.4331 0.8373 2.4201
Li 5.8008 3.3890 2.4072
Li 1.4331 2.5609 -0.0065
Li 2.9346 -0.0091 -0.0065
```

***

Entry 2:
## Li4Ti3Ni3Te2O16 (meta-GGA SCAN)

Data for a crystal of Li4Ti3Ni3Te2O16 relaxed with PBEsol.

Output
raw total energy: -340.43 eV for the cell shown
energy relative to the elements, uncorrected: -2.145 eV/atom
volume: 10.5 A^3/atom

Geometry as extended XYZ:
```
28
Lattice="-4.0321 4.2007 0.2082 -5.4902 -1.2504 -1.4973 -1.9066 -2.4467 9.4498" Properties=species:S:1:pos:R:3 pbc="T T T"
Ti -6.7796 1.1426 7.0431
Ti -7.4808 -1.4789 6.2229
Ti -2.2135 -0.1577 2.3965
Ni -4.8113 -0.7862 1.6838
Ni -9.3610 0.4815 6.4639
Ni -4.1040 1.8584 2.5112
O -5.9929 2.1751 3.3349
O -6.7320 -0.5878 2.4704
O -5.3274 0.3523 8.5152
O -3.8630 0.0003 3.3013
O -8.7772 1.5091 2.6805
O -10.8594 1.2258 5.3659
O -6.1675 -0.1609 5.7868
O -8.6790 -0.8236 5.0248
O -7.9467 -0.2732 7.6667
O -4.8649 1.0512 0.7992
O -3.3187 -1.7415 8.4031
O -6.0555 -2.3697 7.6636
O -0.4154 -0.4668 1.8470
O -3.0229 -0.7858 0.6482
O -7.9594 1.8664 5.8664
O -2.3863 1.5940 1.3929
Li -9.4893 2.8904 -1.1255
Li -6.5132 1.7313 0.0346
Li -0.9977 -1.2299 4.7837
Li -4.3215 -0.4734 5.2076
Te -7.3545 0.7876 3.7702
Te -3.2378 0.9623 -0.3077
```

***

Entry 3:
## Li4V3Ni3Te2O16 (meta-GGA SCAN)

Data for a crystal of Li4V3Ni3Te2O16 relaxed with PBEsol.

Output
raw total energy: -339.50 eV for the cell shown
energy relative to the elements, uncorrected: -1.955 eV/atom
volume: 10.5 A^3/atom

Geometry as extended XYZ:
```
28
Lattice="-0.3304 -1.5862 -5.4632 4.9539 -0.9629 2.9515 -3.5353 -9.0461 2.8409" Properties=species:S:1:pos:R:3 pbc="T T T"
O -0.2200 -7.4160 0.6774
O 1.0057 -9.2759 4.1537
O 1.5952 -4.6629 1.2565
O -2.4297 -6.3001 1.9769
O -2.4172 -6.9476 -0.8075
O -1.7278 -8.5655 2.5922
O -0.3851 -8.2065 -2.0469
O -1.8349 -9.4793 -0.1078
O -0.7071 -4.2478 -0.1839
O -0.8752 -5.0557 -2.9634
O 1.6635 -5.5814 -1.4527
O 1.6680 -2.7438 -0.6699
O 1.8196 -2.0154 1.8397
O -0.5882 -1.8596 0.5753
O 0.8368 -10.0876 1.3579
O 4.0663 -3.0465 0.6380
Ni 0.1957 -9.1467 -0.3275
Ni 2.8586 -4.3868 -0.3454
Ni 3.0191 -3.6150 2.3119
Li 1.1330 -6.5714 1.8402
Li 1.0092 -2.2232 -2.3880
Li 0.0126 -0.1581 0.0452
Li 2.8256 -7.1143 -1.0775
Te -0.2685 -5.7821 -1.2767
Te 3.3239 -1.2624 0.1653
V 0.7925 -3.0609 0.8401
V -2.0619 -8.5695 -1.7860
V -1.9028 -7.8077 0.8391
```

***

Entry 4:
## Li11Ti12Ni4O32 (meta-GGA SCAN)

Data for a crystal of Li11Ti12Ni4O32 relaxed with PBEsol.

Output
raw total energy: -644.90 eV for the cell shown
energy relative to the elements, uncorrected: -2.748 eV/atom
volume: 9.7 A^3/atom
N(E_F): 15.53 states/eV/f.u.

Geometry as extended XYZ:
```
59
Lattice="-0.4431 -4.3683 7.0471 -2.8276 -6.5534 -4.2423 7.7948 -2.6238 -1.1386" Properties=species:S:1:pos:R:3 pbc="T T T"
O 2.8677 -5.0169 1.8978
O 4.9136 -4.6359 0.0320
O -2.4526 -9.2247 3.8954
O -1.1689 -6.0457 5.8648
O 0.7752 -5.5597 3.7582
O -0.3221 -8.8479 1.9532
O 5.9947 -9.1069 2.2098
O 2.9522 -10.5979 -1.6504
O 0.2817 -5.9861 1.0404
O 1.2009 -3.5957 0.4423
O 2.2546 -7.9804 2.6009
O 2.9246 -8.5239 -5.0074
O 7.5981 -3.7513 0.7130
O 3.4487 -8.0969 -2.1797
O 1.1743 -10.5990 3.1683
O 0.6819 -11.1088 0.6068
O 3.8826 -2.4583 1.0205
O 2.3716 -5.5274 -0.9049
O 1.6048 -2.9105 3.2827
O 3.2958 -2.9373 -1.5270
O -0.7584 -7.1823 -4.4892
O 4.1133 -9.5409 4.0362
O 4.8599 -6.9677 3.1680
O -0.8017 -3.8257 2.6232
O -1.4765 -4.4042 -0.4946
O 7.4293 -5.9087 4.0221
O 1.5771 -8.5454 -0.1529
O -0.1031 -6.5285 -1.7330
O 3.3231 -9.9498 1.2239
O 4.2194 -7.5804 0.5173
O 5.3529 -9.7348 -0.9054
O 0.3701 -4.0488 -2.3727
Li 3.9272 -11.7585 1.4464
Li 1.6413 -7.3416 -2.1058
Li 5.0274 -5.7498 1.6411
Li -1.6603 -5.4837 1.2845
Li 2.8550 -6.2294 3.6402
Li 0.1175 -7.2269 2.9641
Li 0.5968 -1.7870 0.2198
Li 3.5898 -3.5143 3.0398
Li 4.3104 -6.3390 -1.2023
Li 2.5945 -4.5476 -2.6580
Li -0.3793 -7.7499 0.0614
Ti -1.0033 -4.8817 4.3947
Ti 5.8594 -3.0337 0.7846
Ti 3.4250 -5.7071 6.3389
Ti 3.4396 -9.0654 -0.5616
Ti 3.1295 -4.0470 0.1958
Ti -2.9185 -8.6892 -0.6805
Ti 6.2796 -5.9220 -3.1590
Ti 0.4638 -5.0488 -0.7105
Ti 0.9567 -4.5274 2.1905
Ti 4.1594 -8.4757 2.2783
Ti 1.4233 -9.4722 1.6063
Ti -0.3320 -5.6302 -3.5131
Ni 1.5160 -3.9534 5.1004
Ni 2.2620 -6.7728 0.8331
Ni 5.2687 -3.5583 -1.8767
Ni -2.2606 -6.0338 -1.5575
```

***

Entry 5:
## Li3TiNi4O8 (meta-GGA SCAN)

Data for a crystal of Li3TiNi4O8 relaxed with PBEsol.

Output
raw total energy: -169.22 eV for the cell shown
energy relative to the elements, uncorrected: -1.968 eV/atom
volume: 8.5 A^3/atom
N(E_F): 3.60 states/eV/f.u.

Geometry as extended XYZ:
```
16
Lattice="-2.2187 4.8548 -2.1357 -2.7150 -5.0307 -0.8153 -0.0933 -0.8689 5.6894" Properties=species:S:1:pos:R:3 pbc="T T T"
O -2.0646 -3.9312 0.7792
O -3.0978 -1.5750 -0.3446
O -1.9293 0.5303 3.0830
O -4.2868 0.4530 1.5645
O -3.2163 -2.0036 2.7078
O -1.8107 0.9589 0.0307
O -0.7403 -1.4977 1.1739
O -2.9624 2.8864 1.9593
Li -1.1560 1.9929 1.7768
Li -2.5135 -0.5224 1.3692
Li -0.0467 -0.4345 2.8447
Ti -1.3575 -2.5153 -0.4076
Ni 0.0000 0.0000 0.0000
Ni -2.4669 -0.0879 -1.4755
Ni -1.4042 -2.9498 2.4371
Ni -1.1094 2.4274 -1.0679
```

***

Entry 6:
## Li4TiNi3O8 (meta-GGA SCAN)

Data for a crystal of Li4TiNi3O8 relaxed with PBEsol.

Output
raw total energy: -313.43 eV for the cell shown
energy relative to the elements, uncorrected: -2.047 eV/atom
volume: 8.5 A^3/atom
N(E_F): 2.67 states/eV/f.u.

Geometry as extended XYZ:
```
32
Lattice="5.7389 0.0025 -0.0085 2.8457 5.0471 0.0099 0.0786 3.2634 9.4034" Properties=species:S:1:pos:R:3 pbc="T T T"
O 5.7600 6.8868 8.1967
O 5.7769 5.0176 3.5647
O 4.1754 4.3252 1.2124
O 4.4341 5.8099 5.8410
O 2.8161 1.4823 1.2504
O 2.8598 3.1525 5.8935
O 2.8711 5.1902 3.4579
O 1.5211 4.1026 8.3325
O 1.4647 2.3179 3.5452
O 4.2536 2.4613 3.5800
O 5.6837 1.6634 1.1358
O 3.0045 6.7922 8.2187
O 4.4412 4.1368 8.2385
O 7.2482 5.8414 5.8112
O 5.8700 3.0657 5.9079
O 7.1093 4.2695 1.0555
Li 4.3222 4.1317 4.6962
Li 2.9665 4.9755 7.0539
Li 4.3723 5.8557 9.3863
Li 5.8246 4.9643 7.0365
Li 7.1657 2.5538 0.0081
Li 2.8537 3.3333 2.3676
Li 1.4750 4.0869 4.7118
Li 5.6926 3.3423 2.3510
Ti 5.6716 0.1120 -0.0022
Ti 5.8280 6.5674 4.7028
Ni 2.9187 3.3002 9.3972
Ni 4.3831 2.4596 7.0486
Ni 4.3600 7.4848 7.0548
Ni 2.9123 6.6445 4.7112
Ni 4.2739 5.8516 2.3596
Ni 4.3006 0.8282 2.3508
```

***

Entry 7:
## Li4Ti2Ni3O10 (meta-GGA SCAN)

Data for a crystal of Li4Ti2Ni3O10 relaxed with PBEsol.

Output
raw total energy: -389.61 eV for the cell shown
energy relative to the elements, uncorrected: -2.229 eV/atom
volume: 9.0 A^3/atom
N(E_F): 4.35 states/eV/f.u.

Geometry as extended XYZ:
```
38
Lattice="-3.8733 3.3045 3.9384 -5.1383 -4.2507 3.6752 4.5895 -1.6922 5.9327" Properties=species:S:1:pos:R:3 pbc="T T T"
Ni 1.2890 -0.0475 7.5375
Ni -5.7111 -2.5909 6.0088
Ni 0.0000 0.0000 0.0000
Ni -5.3208 -1.7703 10.9571
Ni 0.3581 0.8061 4.9356
Ni 0.8987 -0.8681 2.5892
O -3.1995 -4.3423 7.6547
O 1.0351 -1.7243 8.6457
O -2.1878 -2.4936 3.0393
O -0.3297 -4.4787 8.3922
O -4.5313 -1.8762 7.4647
O -1.8204 -1.5722 7.9615
O -7.4122 -1.6424 6.7176
O -5.4572 -0.9141 4.9007
O -0.6880 -0.0601 3.4183
O -4.0528 -3.4908 5.2906
O -4.0924 1.8403 5.1542
O -3.1133 0.8434 7.5629
O 0.1092 -0.7622 6.0817
O 2.9900 -0.9960 6.8288
O -2.2343 -0.1448 10.5071
O -1.2226 1.7039 5.8916
O -1.3088 -3.4818 5.9835
O -0.3693 0.8524 8.2557
O -3.7341 -2.5783 10.1281
O -2.6017 -1.0662 5.5848
Li -3.9134 -1.6616 3.9799
Li -0.1309 -2.6258 7.3462
Li -4.2912 -0.0126 6.2001
Li -0.5087 -0.9768 9.5664
Li -0.9429 -1.7921 4.5791
Li -6.1850 -0.9658 8.2410
Li -3.4792 -0.8463 8.9673
Li 1.7629 -1.6726 5.3054
Ti -1.5651 -0.0647 6.8111
Ti -2.8571 -2.5737 6.7352
Ti -2.4021 -1.8342 11.4138
Ti -2.0200 -0.8042 2.1326
```

***

Entry 8:
## Li6TiNi7O16 (meta-GGA SCAN)

Data for a crystal of Li6TiNi7O16 relaxed with PBEsol.

Output
raw total energy: -295.30 eV for the cell shown
energy relative to the elements, uncorrected: -1.734 eV/atom
volume: 8.9 A^3/atom
N(E_F): 4.43 states/eV/f.u.

Geometry as extended XYZ:
```
30
Lattice="-1.2627 -5.0429 -3.6696 5.4064 -3.4344 -0.7386 -1.3762 -6.4382 3.8563" Properties=species:S:1:pos:R:3 pbc="T T T"
O -0.2442 -5.6301 2.3839
O 2.4575 -6.6315 -1.6271
O 2.1060 -4.1829 -0.8380
O 2.6608 -8.5035 2.7032
O 2.7359 -8.7001 0.1127
O 0.2345 -6.3729 -3.3521
O 0.6566 -10.7923 0.4570
O 3.4569 -11.6655 -1.1087
O 3.1230 -9.3644 -3.0176
O 0.0545 -6.1176 -0.6894
O 3.0278 -10.9107 1.8020
O 0.3760 -8.3051 1.0500
O 0.3814 -8.4972 -1.5356
O 2.2175 -6.3603 0.9104
O -0.4717 -3.9021 -2.4110
O -0.7492 -3.3846 0.7275
Ni 1.0523 -5.2013 -2.0439
Ni -0.6246 -9.4937 -0.0317
Ni 1.6751 -9.6334 1.5392
Ni 1.3772 -7.4621 -0.3073
Ni 3.6843 -7.6331 1.3469
Ni 3.4008 -5.4748 -0.4797
Ni -0.9634 -7.2538 -1.8555
Li 0.8993 -4.8245 0.8289
Li 3.9090 -8.0387 -1.5440
Li 1.2697 -7.0352 2.5549
Li -1.2461 -6.8741 0.9333
Li 1.5193 -7.9044 -3.1268
Li 2.3223 -12.2282 0.5309
Ti -1.2411 -6.5231 3.8220
```

***

Entry 9:
## Li4TiNi3O8 (meta-GGA SCAN)

Data for a crystal of Li4TiNi3O8 relaxed with PBEsol.

Output
raw total energy: -156.72 eV for the cell shown
energy relative to the elements, uncorrected: -2.048 eV/atom
volume: 8.5 A^3/atom
N(E_F): 2.30 states/eV/f.u.

Geometry as extended XYZ:
```
16
Lattice="-4.6839 -2.6813 -1.9162 2.1388 -1.4251 5.1181 -0.4060 5.5490 1.5483" Properties=species:S:1:pos:R:3 pbc="T T T"
Li -1.4755 0.7213 2.3751
Li -2.5449 1.4339 -0.1840
Li 0.8664 2.0620 3.3332
Li -0.2030 2.7745 0.7741
O -1.0926 1.7988 4.1322
O -0.6512 -1.1680 3.2302
O -3.3115 0.4173 3.1486
O 0.2143 3.9075 2.4880
O -3.1654 -2.4649 2.2621
O 0.3604 1.0253 1.6015
O -2.2999 2.6106 1.5200
O -1.8584 -0.3562 0.6179
Ni -2.3419 -1.3406 -0.9581
Ni 1.0694 -0.7126 2.5590
Ni -1.2726 -2.0532 1.6009
Ti 0.0000 0.0000 0.0000
```

***

Entry 10:
## Li5Ti2Ni5O12 (meta-GGA SCAN)

Data for a crystal of Li5Ti2Ni5O12 relaxed with PBEsol.

Output
raw total energy: -250.61 eV for the cell shown
energy relative to the elements, uncorrected: -2.123 eV/atom
volume: 8.5 A^3/atom
N(E_F): 6.20 states/eV/f.u.

Geometry as extended XYZ:
```
24
Lattice="-3.1528 0.0337 3.7856 -2.6079 -4.1415 1.0708 5.8985 -2.8561 7.0460" Properties=species:S:1:pos:R:3 pbc="T T T"
O 0.0855 -1.1209 1.2204
O -0.4104 -3.8159 8.1865
O 1.5725 -5.9058 8.8439
O 0.8773 -5.1529 6.0554
O 1.5163 -2.4789 6.5581
O -1.0332 -3.1510 5.6048
O -1.8095 -2.3626 2.8595
O 3.5427 -4.5415 7.1652
O 0.8659 -1.8086 3.9839
O -3.6779 -3.7288 4.4200
O -2.9695 -4.4287 7.2190
O 2.2732 -3.2614 9.3028
Ni 0.1023 -2.7806 2.2747
Ni 1.6041 -4.2314 7.7287
Ni -1.0652 -4.8678 6.6220
Ni -0.3759 -2.0889 7.1713
Ni -1.7437 -0.6573 1.7595
Li 3.5522 -2.7836 6.1452
Li -1.8148 -4.1940 3.8665
Li -0.3413 -5.6449 9.3570
Li -1.1165 -1.2883 4.4394
Li -2.4332 -3.4372 1.2100
Ti -3.6763 -2.0767 3.3684
Ti 0.8569 -3.4911 5.0046
```

***

Entry 11:
## Li2Ti2NiO6 (meta-GGA SCAN)

Data for a crystal of Li2Ti2NiO6 relaxed with PBEsol.

Output
raw total energy: -238.54 eV for the cell shown
energy relative to the elements, uncorrected: -2.624 eV/atom
volume: 10.3 A^3/atom
N(E_F): 0.00 states/eV/f.u.

Geometry as extended XYZ:
```
22
Lattice="-1.7749 1.2682 4.4954 3.7501 -3.3852 -0.3413 6.8878 7.5715 0.5835" Properties=species:S:1:pos:R:3 pbc="T T T"
Li 5.5602 5.0440 4.0172
Li 3.3028 0.4105 0.7204
Li 2.4153 1.0446 2.9681
Li 6.4477 4.4099 1.7695
Ti 3.4752 3.5369 3.1513
Ti 5.3878 1.9176 1.5863
Ti 1.0565 -1.2340 3.5422
Ti 0.9188 -0.8830 0.6118
O 5.5333 3.3929 0.2528
O 0.4200 0.9663 0.7638
O 3.3298 2.0616 4.4848
O 2.2666 -0.7168 2.0718
O 3.5329 4.9886 1.8939
O 3.4170 2.1965 1.7041
O 5.4461 3.2580 3.0335
O 0.5789 0.6864 3.7866
O 1.5800 3.8511 3.1850
O 6.5964 6.1713 2.6658
O 8.2841 4.7681 0.9510
O 4.6929 7.8734 4.3151
Ni 3.4439 3.7858 0.2918
Ni -0.8875 0.6341 2.2477
```

***

Entry 12:
## LiTiNiO4 (meta-GGA SCAN)

Data for a crystal of LiTiNiO4 relaxed with PBEsol.

Output
raw total energy: -151.89 eV for the cell shown
energy relative to the elements, uncorrected: -2.346 eV/atom
volume: 9.9 A^3/atom
N(E_F): 0.01 states/eV/f.u.

Geometry as extended XYZ:
```
14
Lattice="-2.7979 0.8677 -4.8886 -4.7968 -1.2146 2.8276 3.3423 4.2838 2.0155" Properties=species:S:1:pos:R:3 pbc="T T T"
O -2.5374 1.4210 1.7618
O -1.7150 2.5159 -1.8072
O -3.9430 2.0456 -0.5735
O -1.8978 -0.0558 -0.3465
O -3.3639 0.5042 -3.0352
O -0.8884 3.4328 2.9898
O -2.3546 3.9927 0.3010
O -0.3094 1.8914 0.5280
Li 0.7983 3.3837 0.0157
Li -5.0507 0.5532 -0.0612
Ti 0.0000 0.0000 0.0000
Ti -0.7272 1.5346 2.4215
Ni -2.3984 -0.6073 1.4138
Ni -2.1262 1.9685 -0.0227
```